Dy2Er5Te4 (GGA-PBE, relaxed); ρ = 7.6 Mg/m³; energy relative to the elements, uncorrected = -0.63 eV/atom
1.0
12.6606 -2.0072 0.0000
12.6606 2.0072 0.0000
-0.2019 0.0000 7.2127
Dy Er Te
2 5 4
direct
0.2344 0.2344 0.3043 Dy
0.7656 0.7656 0.6957 Dy
0.0000 0.0000 0.5000 Er
0.3410 0.3410 0.0053 Er
0.3614 0.3614 0.4932 Er
0.6386 0.6386 0.5068 Er
0.6590 0.6590 0.9947 Er
0.0957 0.0957 0.2269 Te
0.4508 0.4508 0.2336 Te
0.5492 0.5492 0.7664 Te
0.9043 0.9043 0.7731 Te



LiPr2Th3Te6 (GGA-PBE, relaxed); ρ = 7.7 Mg/m³; energy relative to the elements, uncorrected = -1.18 eV/atom
1.0
9.7505 -2.2058 0.0000
9.7505 2.2058 0.0000
-2.2684 0.0000 8.7352
Li Pr Th Te
1 2 3 6
direct
0.0000 0.0000 0.0000 Li
0.3306 0.3306 0.6690 Pr
0.6694 0.6694 0.3310 Pr
0.0000 0.0000 0.5000 Th
0.3233 0.3233 0.1601 Th
0.6767 0.6767 0.8399 Th
0.1524 0.1524 0.0714 Te
0.1651 0.1651 0.5822 Te
0.4956 0.4956 0.2381 Te
0.5044 0.5044 0.7619 Te
0.8349 0.8349 0.4178 Te
0.8476 0.8476 0.9286 Te



ρ of number 1 (Dy2Er5Te4)? 7.6 Mg/m³



Which formula does entry 2 have? LiPr2Th3Te6



What is the ρ in the second record? 7.7 Mg/m³



Number 1 is which compound? Dy2Er5Te4